DFT (PBE) results for Tl2HgAu after structural relaxation.

```
Tl2HgAu
1.0
-0.114 1.672 -3.125
-3.504 -0.527 -0.154
-1.292 7.409 4.011
Hg Tl Au
1 2 1
Direct
0.500 0.500 0.715
0.000 0.000 0.973
0.500 0.500 0.298
0.000 0.000 0.513
```

Results
Raw total energy ... -2.0792 eV/atom
Energy above the most stable polymorph in this dataset ... 23 meV/atom